1.
Here is an optimized crystal structure of TbEr4TmS8 from the Alexandria database. Energies are from PBE.

Properties
**Formation energy from raw total energies**: -1.92 eV per atom
**Energy**: -6.236 eV per atom
**Total magnetic moment**: 0.0001 μB/atom
**Symmetry**: R3m (160)
**Crystal system**: trigonal

Cell: 7.9859 7.9859 7.9792 Å, 59.97 59.97 60.00°
Fractional positions:
1 Tb 0.3753 0.3753 0.8742
2 Er 0.6248 0.6248 0.1257
3 Er 0.9998 0.5007 0.4998
4 Er 0.5007 0.9998 0.4998
5 Er 0.9998 0.9998 0.4998
6 Tm 0.9997 0.9997 0.0008
7 S 0.2401 0.7772 0.7425
8 S 0.7772 0.2401 0.7425
9 S 0.2401 0.2401 0.7425
10 S 0.2414 0.2414 0.2759
11 S 0.7583 0.2273 0.2560
12 S 0.2273 0.7583 0.2560
13 S 0.7583 0.7583 0.2560
14 S 0.7572 0.7572 0.7285

=====

2.
Here is an optimized crystal structure of Tb2ErTmS6 from the Alexandria database. Energies are from PBE.

Properties
**Formation energy from raw total energies**: -2.06 eV per atom
**Energy**: -6.367 eV per atom
**Total magnetic moment**: 0.0000 μB/atom
**Symmetry**: R3 (146)
**Crystal system**: trigonal

Cell: 6.8880 6.8880 7.3223 Å, 61.94 61.94 59.99°
Fractional positions:
1 Tb 0.5181 0.5180 0.4459
2 Tb 0.0178 0.0178 0.9467
3 Er 0.8167 0.8167 0.5498
4 Tm 0.3171 0.3171 0.0486
5 S 0.6093 0.2120 0.2537
6 S 0.2119 0.9250 0.2537
7 S 0.9250 0.6094 0.2537
8 S 0.4233 0.7111 0.7544
9 S 0.7112 0.1110 0.7544
10 S 0.1111 0.4234 0.7544

=====

3.
Here is an optimized crystal structure of TbEr2TmS6 from the Alexandria database. Energies are from PBE.

Properties
**Formation energy from raw total energies**: -2.06 eV per atom
**Energy**: -6.361 eV per atom
**Total magnetic moment**: 0.0000 μB/atom
**Symmetry**: R3 (146)
**Crystal system**: trigonal

Cell: 6.8597 6.8597 7.3057 Å, 62.00 62.00 59.99°
Fractional positions:
1 Tb 0.8146 0.8146 0.5562
2 Er 0.5167 0.5166 0.4502
3 Er 0.0152 0.0152 0.9545
4 Tm 0.3168 0.3168 0.0495
5 S 0.6125 0.2200 0.2499
6 S 0.2199 0.9176 0.2499
7 S 0.9176 0.6125 0.2500
8 S 0.4101 0.7180 0.7516
9 S 0.7181 0.1201 0.7517
10 S 0.1202 0.4101 0.7517

=====

4.
Here is an optimized crystal structure of Tb4ErTm3S8 from the Alexandria database. Energies are from PBE.

Properties
**Formation energy from raw total energies**: -1.97 eV per atom
**Energy**: -6.316 eV per atom
**Total magnetic moment**: 0.0001 μB/atom
**Symmetry**: R-3m (166)
**Crystal system**: trigonal

Cell: 7.7575 7.7955 7.7574 Å, 119.84 120.00 90.00°
Fractional positions:
1 Tb 0.5000 0.0000 0.0000
2 Tb 0.5000 0.0000 0.5000
3 Tb 0.0000 0.0000 0.0000
4 Tb 0.0000 0.0000 0.5000
5 Er 0.0000 0.5000 0.0000
6 Tm 0.5000 0.5000 0.0000
7 Tm 0.5000 0.5000 0.5000
8 Tm 0.0000 0.5000 0.5000
9 S 0.2478 0.7418 0.9940
10 S 0.2478 0.7418 0.4956
11 S 0.2530 0.2589 0.5060
12 S 0.7462 0.7418 0.9940
13 S 0.2538 0.2582 0.0060
14 S 0.7470 0.7411 0.4940
15 S 0.7522 0.2582 0.5044
16 S 0.7522 0.2582 0.0060